Entry 1:
An optimized crystal structure of YBiPb2O5. Source: the Alexandria database, functional PBE.

Structure (POSCAR):
```
YBiPb2O5
1.0
1.849 -6.895 0.000
1.849 6.895 0.000
0.000 0.000 13.128
Y Bi Pb O
2 2 4 10
Direct
0.230 0.770 0.500
0.770 0.230 0.000
0.046 0.954 0.942
0.954 0.046 0.442
0.322 0.678 0.770
0.430 0.570 0.171
0.570 0.430 0.671
0.678 0.322 0.270
0.062 0.938 0.570
0.121 0.879 0.364
0.215 0.785 0.902
0.282 0.718 0.110
0.404 0.596 0.522
0.596 0.404 0.022
0.718 0.282 0.610
0.785 0.215 0.402
0.879 0.121 0.864
0.938 0.062 0.070
```

Output
- Space-group type: Cmc2_1 (36)
- Raw formation energy: -1.763 eV per atom
- Volume: 18.6 Å³ per atom
- E: -6.491 eV per atom

***

Entry 2:
An optimized crystal structure of YBi2PbO. Source: the Alexandria database, functional PBE.

Structure (POSCAR):
```
YBi2PbO
1.0
6.067 0.000 0.000
0.000 6.067 0.000
0.000 0.000 4.160
Y Bi Pb O
1 2 1 1
Direct
0.000 0.000 0.000
0.000 0.500 0.500
0.500 0.000 0.500
0.500 0.500 0.500
0.500 0.500 0.000
```

Output
- Space-group type: P4/mmm (123)
- Raw formation energy: 0.007 eV per atom
- Volume: 30.6 Å³ per atom
- E: -4.571 eV per atom

***

Entry 3:
An optimized crystal structure of ZnBiPbO2. Source: the Alexandria database, functional PBE.

Structure (POSCAR):
```
ZnBiPbO2
1.0
4.248 0.000 0.000
0.000 4.248 0.000
0.000 0.000 5.336
Zn Bi Pb O
1 1 1 2
Direct
0.000 0.000 0.000
0.000 0.000 0.500
0.500 0.500 0.500
0.000 0.500 0.000
0.500 0.000 0.000
```

Output
- Space-group type: P4/mmm (123)
- Raw formation energy: 0.075 eV per atom
- Volume: 19.3 Å³ per atom
- E: -3.680 eV per atom

***

Entry 4:
An optimized crystal structure of ZrBiPbO6. Source: the Alexandria database, functional PBE.

Structure (POSCAR):
```
ZrBiPbO6
1.0
5.046 0.000 0.000
0.000 5.046 0.000
0.000 0.000 10.372
Zr Bi Pb O
2 2 2 12
Direct
0.000 0.000 0.000
0.500 0.500 0.500
0.000 0.000 0.332
0.500 0.500 0.832
0.000 0.000 0.662
0.500 0.500 0.162
0.185 0.185 0.834
0.192 0.192 0.154
0.200 0.200 0.499
0.300 0.700 0.999
0.308 0.692 0.654
0.315 0.685 0.334
0.685 0.315 0.334
0.692 0.308 0.654
0.700 0.300 0.999
0.800 0.800 0.499
0.808 0.808 0.154
0.815 0.815 0.834
```

Output
- Space-group type: P4_2nm (102)
- Raw formation energy: -1.668 eV per atom
- Volume: 14.7 Å³ per atom
- E: -6.766 eV per atom

***

Entry 5:
An optimized crystal structure of BiPdO3. Source: the Alexandria database, functional PBE.

Structure (POSCAR):
```
BiPdO3
1.0
6.492 0.000 0.000
0.000 5.598 0.000
-1.678 0.000 7.956
Bi Pd O
4 4 12
Direct
0.165 0.214 0.148
0.165 0.286 0.648
0.835 0.714 0.352
0.835 0.786 0.852
0.418 0.731 0.066
0.418 0.769 0.566
0.582 0.231 0.434
0.582 0.269 0.934
0.127 0.662 0.579
0.127 0.838 0.079
0.294 0.090 0.445
0.294 0.410 0.945
0.483 0.565 0.334
0.483 0.935 0.834
0.517 0.065 0.166
0.517 0.435 0.666
0.706 0.590 0.055
0.706 0.910 0.555
0.873 0.162 0.921
0.873 0.338 0.421
```

Output
- Space-group type: P2_1/c (14)
- Raw formation energy: -0.735 eV per atom
- Volume: 14.5 Å³ per atom
- E: -5.525 eV per atom

***

Entry 6:
An optimized crystal structure of BiPdO3. Source: the Alexandria database, functional PBE.

Structure (POSCAR):
```
BiPdO3
1.0
4.182 0.000 0.000
0.000 4.182 0.000
0.000 0.000 4.182
Bi Pd O
1 1 3
Direct
0.000 0.000 0.000
0.500 0.500 0.500
0.000 0.000 0.500
0.000 0.500 0.000
0.500 0.000 0.000
```

Output
- Space-group type: Pm-3m (221)
- Raw formation energy: -0.026 eV per atom
- Volume: 14.6 Å³ per atom
- E: -4.816 eV per atom

***

Entry 7:
An optimized crystal structure of BiPdO3. Source: the Alexandria database, functional PBE.

Structure (POSCAR):
```
BiPdO3
1.0
3.097 1.788 2.679
-3.097 1.788 2.679
0.000 -3.576 2.679
Bi Pd O
1 1 3
Direct
0.000 0.000 0.000
0.380 0.380 0.380
0.062 0.062 0.508
0.062 0.508 0.062
0.508 0.062 0.062
```

Output
- Space-group type: R3m (160)
- Raw formation energy: -0.292 eV per atom
- Volume: 17.8 Å³ per atom
- E: -5.081 eV per atom

***

Entry 8:
An optimized crystal structure of BiPdO2. Source: the Alexandria database, functional PBE.

Structure (POSCAR):
```
BiPdO2
1.0
4.177 0.000 0.000
0.000 4.958 0.000
0.000 0.000 12.575
Bi Pd O
4 4 8
Direct
0.000 0.178 0.134
0.000 0.822 0.866
0.500 0.178 0.366
0.500 0.822 0.634
0.000 0.313 0.572
0.000 0.687 0.428
0.500 0.313 0.928
0.500 0.687 0.072
0.000 0.034 0.317
0.000 0.237 0.934
0.000 0.763 0.066
0.000 0.966 0.683
0.500 0.034 0.183
0.500 0.237 0.566
0.500 0.763 0.434
0.500 0.966 0.817
```

Output
- Space-group type: Pmna (53)
- Raw formation energy: -0.663 eV per atom
- Volume: 16.3 Å³ per atom
- E: -5.410 eV per atom